First-principles (SCAN) data for a crystal of InSb2MoI relaxed with PBEsol, as listed in Alexandria.

The space group is P4/mmm (No. 123) and the conventional cell measures 5.126, 5.126 and 5.895 Å, with angles of 90.00, 90.00 and 90.00 degrees. The distinct sites, in fractional coordinates, are In at (0.000, 0.000, 0.000), Sb at (0.000, 0.500, 0.500), Mo at (0.500, 0.500, 0.500) and I at (0.500, 0.500, 0.000).

Its total energy is -35.49 eV per atom. The energy relative to the elements, uncorrected is 200 kJ/mol of formula units.